Entry from the Alexandria database: Sc2CuAu at its PBEsol-relaxed geometry (meta-GGA SCAN).

Unit cell a=4.654 b=4.654 c=4.654 alpha=60.00 beta=60.00 gamma=60.00
Element x y z (fractional)
1 Sc 0.750 0.750 0.750
2 Sc 0.250 0.250 0.250
3 Au 0.500 0.500 0.500
4 Cu 0.000 0.000 0.000

Output
- Density of states at the Fermi level: 2.17 states/eV/cell
- ΔE to the lowest computed polymorph: 0.000 eV per atom
- Formation energy: -734 meV/atom

Entry from the Alexandria database: Zn3In2O6 at its PBEsol-relaxed geometry (meta-GGA SCAN).

Unit cell a=5.821 b=6.733 c=14.297 alpha=83.34 beta=86.02 gamma=90.03
Element x y z (fractional)
1 O 0.460 0.185 0.254
2 O 0.041 0.571 0.748
3 O 0.605 0.874 0.432
4 O 0.080 0.135 0.419
5 O 0.343 0.019 0.928
6 O 0.151 0.234 0.076
7 O 0.846 0.267 0.928
8 O 0.156 0.729 0.074
9 O 0.902 0.356 0.576
10 O 0.400 0.114 0.566
11 O 0.956 0.440 0.256
12 O 0.112 0.660 0.432
13 O 0.348 0.517 0.922
14 O 0.656 0.481 0.074
15 O 0.395 0.586 0.604
16 O 0.847 0.771 0.925
17 O 0.579 0.411 0.426
18 O 0.545 0.817 0.749
19 O 0.054 0.058 0.745
20 O 0.653 0.983 0.073
21 O 0.956 0.936 0.250
22 O 0.531 0.302 0.747
23 O 0.920 0.856 0.587
24 O 0.458 0.690 0.247
25 In 0.495 0.251 0.001
26 In 0.000 0.998 0.003
27 In 0.870 0.304 0.780
28 In 0.432 0.142 0.406
29 In 0.003 0.503 0.999
30 In 0.573 0.846 0.594
31 In 0.502 0.749 0.998
32 In 0.931 0.410 0.411
33 Zn 0.071 0.604 0.593
34 Zn 0.369 0.045 0.790
35 Zn 0.068 0.104 0.598
36 Zn 0.370 0.556 0.778
37 Zn 0.130 0.698 0.212
38 Zn 0.632 0.449 0.212
39 Zn 0.126 0.197 0.216
40 Zn 0.871 0.806 0.784
41 Zn 0.431 0.661 0.387
42 Zn 0.933 0.893 0.392
43 Zn 0.633 0.946 0.210
44 Zn 0.564 0.347 0.597

Output
- Uncorrected formation energy: -1.659 eV per atom
- ΔE to the lowest computed polymorph: 0.000 eV per atom

Entry from the Alexandria database: Rh2C at its PBEsol-relaxed geometry (meta-GGA SCAN).

Unit cell a=2.588 b=4.081 c=4.081 alpha=120.00 beta=90.00 gamma=90.00
Element x y z (fractional)
1 Rh 0.500 0.333 0.667
2 Rh 0.500 0.667 0.333
3 C 0.000 0.000 0.000

Output
- Density of states at the Fermi level: 3.23 states/eV/cell
- ΔE to the lowest computed polymorph: 1.845 eV per atom
- Formation energy: 1984 meV/atom

Entry from the Alexandria database: Sc2InCl at its PBEsol-relaxed geometry (meta-GGA SCAN).

Unit cell a=3.379 b=3.363 c=7.512 alpha=90.00 beta=90.00 gamma=90.00
Each line ends with the local moment (μB).
Element x y z (fractional)
1 In 0.500 0.500 0.500  -0.01
2 Cl 0.500 0.000 0.000  -0.01
3 Sc 0.000 0.000 0.748  0.14
4 Sc 0.000 0.000 0.252  0.14

Output
- Uncorrected formation energy: -0.932 eV per atom
- Density of states at the Fermi level: 2.94 states/eV/cell
- ΔE to the lowest computed polymorph: 0.000 eV per atom

Entry from the Alexandria database: PmI3 at its PBEsol-relaxed geometry (meta-GGA SCAN).

Unit cell a=4.032 b=10.696 c=10.696 alpha=120.00 beta=90.00 gamma=90.00
Element x y z (fractional)
1 I 0.750 0.793 0.207
2 I 0.250 0.207 0.793
3 I 0.250 0.207 0.415
4 I 0.250 0.585 0.793
5 I 0.750 0.415 0.207
6 I 0.750 0.793 0.585
7 Pm 0.750 0.333 0.667
8 Pm 0.250 0.667 0.333

Output
- Uncorrected formation energy: -1.498 eV per atom
- Density of states at the Fermi level: 0.00 states/eV/cell

Entry from the Alexandria database: HgAu at its PBEsol-relaxed geometry (meta-GGA SCAN).

Unit cell a=3.171 b=4.526 c=5.441 alpha=90.00 beta=99.07 gamma=90.00
Element x y z (fractional)
1 Hg 0.591 0.750 0.318
2 Hg 0.409 0.250 0.682
3 Au 0.947 0.750 0.838
4 Au 0.053 0.250 0.162

Output
- Density of states at the Fermi level: 1.21 states/eV/cell
- Formation energy: 100 meV/atom

Entry from the Alexandria database: TcAgRu2 at its PBEsol-relaxed geometry (meta-GGA SCAN).

Unit cell a=2.749 b=4.514 c=4.630 alpha=90.00 beta=90.00 gamma=90.00
Each line ends with the local moment (μB).
Element x y z (fractional)
1 Tc 0.500 0.500 0.000  -0.21
2 Ru 0.500 0.000 0.500  0.82
3 Ru 0.000 0.000 0.000  0.63
4 Ag 0.000 0.500 0.500  0.02

Output
- Density of states at the Fermi level: 3.84 states/eV/cell
- ΔE to the lowest computed polymorph: 0.230 eV per atom
- Formation energy: 725 meV/atom

Entry from the Alexandria database: BePbBr2 at its PBEsol-relaxed geometry (meta-GGA SCAN).

Unit cell a=5.180 b=5.183 c=5.183 alpha=103.22 beta=112.63 gamma=112.63
Element x y z (fractional)
1 Be 0.500 0.000 0.000
2 Br 0.000 0.500 0.000
3 Br 0.000 0.000 0.500
4 Pb 0.500 0.500 0.500

Output
- Uncorrected formation energy: 0.126 eV per atom
- Density of states at the Fermi level: 0.62 states/eV/cell
- ΔE to the lowest computed polymorph: 0.000 eV per atom

Number 1: E -28.941 eV/atom, spin magnetization 0.0 μB/cell. Number 2: E -14.814 eV/atom, spin magnetization 0.0 μB/cell. Number 3: E -23.897 eV/atom, spin magnetization 0.0 μB/cell. Number 4: E -18.391 eV/atom, spin magnetization 0.4 μB/cell. Number 5: E -40.050 eV/atom, spin magnetization 0.0 μB/cell. Number 6: E -68.562 eV/atom, spin magnetization 0.0 μB/cell. Number 7: E -33.295 eV/atom, spin magnetization 1.2 μB/cell. Number 8: E -29.637 eV/atom, spin magnetization 0.0 μB/cell.